[1]
A plane-wave DFT calculation with PBE was carried out for a geometry-optimized Bi4Br2F5 structure.

```
11
Lattice="5.693 0.000 0.000 2.847 7.796 -1.706 2.847 0.059 6.644" Properties=species:S:1:pos:R:3 pbc="T T T"
Bi 8.540 7.665 3.464
Bi 2.847 3.304 0.238
F 7.080 2.843 5.108
Bi 2.847 0.189 1.474
F 4.306 5.011 -0.170
Bi 8.540 4.551 4.700
F 7.080 5.011 -0.170
F 4.306 2.843 5.108
Br 5.693 1.134 1.618
F 2.847 3.927 2.469
Br 5.693 6.720 3.319
```

Calculated values
* formation energy from raw total energies: -15.83 eV per formula unit
* total energy: -44.1 eV/f.u.
* SG: No. 12
* theoretical density: 6.13 Mg/m³

[2]
A plane-wave DFT calculation with PBE was carried out for a geometry-optimized Ba2AcThP4 structure.

```
8
Lattice="-1.198 4.257 -0.161 -0.359 -0.391 -7.672 -7.021 -1.863 2.981" Properties=species:S:1:pos:R:3 pbc="T T T"
P -5.617 -1.572 0.233
Ba -3.690 -1.127 -2.345
Th -0.779 1.933 -3.916
P -6.343 0.384 -3.472
Ac 0.000 0.000 0.000
P -2.235 1.619 -1.380
Ba -4.110 1.197 1.410
P -1.764 -0.683 -4.924
```

Calculated values
* total energy: -46.5 eV/f.u.
* SG: No. 10
* ΔE_f: -1.18 eV/atom
* theoretical density: 5.64 Mg/m³

[3]
A plane-wave DFT calculation with PBE was carried out for a geometry-optimized VCdPb2 structure.

```
4
Lattice="3.328 0.000 0.000 1.664 2.882 0.000 1.664 0.961 11.231" Properties=species:S:1:pos:R:3 pbc="T T T"
Pb 4.991 2.882 2.885
Cd 3.328 1.921 5.615
V 0.000 0.000 0.000
Pb 1.664 0.961 8.346
```

Calculated values
* total energy: -15.0 eV/f.u.
* SG: No. 166
* ΔE_f: 0.62 eV/atom
* theoretical density: 8.91 Mg/m³

[4]
A plane-wave DFT calculation with PBE was carried out for a geometry-optimized TlIn2PdCl structure.

```
5
Lattice="5.222 0.000 0.000 0.000 5.222 0.000 0.000 0.000 5.370" Properties=species:S:1:pos:R:3 pbc="T T T"
Cl 2.611 2.611 2.685
Pd 0.000 0.000 0.000
In 2.611 0.000 0.000
Tl 0.000 0.000 2.685
In 0.000 2.611 0.000
```

Calculated values
* formation energy from raw total energies: -2.19 eV per formula unit
* total energy: -17.1 eV/f.u.
* SG: No. 123
* theoretical density: 6.53 Mg/m³

[5]
A plane-wave DFT calculation with PBE was carried out for a geometry-optimized BeTcAs structure.

```
3
Lattice="2.918 0.000 0.000 -1.459 2.527 0.000 0.000 0.000 5.706" Properties=species:S:1:pos:R:3 pbc="T T T"
Tc 1.459 0.842 3.770
Be 0.000 1.685 1.979
As 0.000 0.000 5.664
```

Calculated values
* total energy: -18.2 eV/f.u.
* SG: No. 156
* excess energy over the best structure of this formula in the dataset: 471.4 meV/atom
* ΔE_f: 0.19 eV/atom
* theoretical density: 7.18 Mg/m³

[6]
A plane-wave DFT calculation with PBE was carried out for a geometry-optimized Na2TlSiS4 structure.

```
8
Lattice="-6.453 2.067 2.925 -5.685 -0.769 -2.687 -3.741 -3.616 3.613" Properties=species:S:1:pos:R:3 pbc="T T T"
Na -8.425 -0.448 0.352
Si -4.713 -2.193 0.463
Na -7.454 -1.870 3.499
S -10.244 -2.051 3.657
S -13.087 -0.367 2.448
S -3.468 -0.961 -0.788
S -4.959 -1.257 2.385
Tl 0.000 0.000 0.000
```

Calculated values
* formation energy from raw total energies: -5.81 eV per formula unit
* total energy: -32.7 eV/f.u.
* SG: No. 121
* theoretical density: 3.45 Mg/m³

[7]
A plane-wave DFT calculation with PBE was carried out for a geometry-optimized Cu2RePt structure.

```
4
Lattice="-1.266 -3.960 1.943 3.851 -2.064 1.405 -1.504 4.270 0.753" Properties=species:S:1:pos:R:3 pbc="T T T"
Cu 1.293 -3.012 1.674
Re -0.738 -1.351 2.185
Pt 1.820 -0.403 1.916
Cu 0.000 0.000 0.000
```

Calculated values
* total energy: -25.4 eV/f.u.
* SG: No. 139
* excess energy over the best structure of this formula in the dataset: 307.4 meV/atom
* ΔE_f: 0.33 eV/atom
* theoretical density: 15.25 Mg/m³

[8]
A plane-wave DFT calculation with PBE was carried out for a geometry-optimized MoAsPb2 structure.

```
4
Lattice="-5.490 -0.222 1.422 -2.883 -3.712 -3.182 4.439 0.246 3.528" Properties=species:S:1:pos:R:3 pbc="T T T"
Pb -4.196 -1.972 -0.882
Mo -1.315 -2.717 -0.266
As -2.619 -0.972 2.036
Pb -8.363 -3.930 -1.757
```

Calculated values
* total energy: -20.1 eV/f.u.
* SG: No. 71
* ΔE_f: 0.71 eV/atom
* theoretical density: 10.69 Mg/m³

Number 1: total magnetization 0.000 μB/f.u.. Number 2: total magnetization 0.000 μB/f.u.. Number 3: total magnetization 3.566 μB/f.u.. Number 4: total magnetization 0.000 μB/f.u.. Number 5: total magnetization 0.000 μB/f.u.. Number 6: total magnetization 0.626 μB/f.u.. Number 7: total magnetization 1.726 μB/f.u.. Number 8: total magnetization 1.686 μB/f.u..